Computed, not measured: an optimized crystal structure of BeCd2Pt at the PBE-GGA level of DFT.

Unit cell a=5.050 b=5.050 c=5.050 alpha=134.07 beta=134.07 gamma=66.98
Fractional coordinates of all 4 atoms:
Cd: 0.000 0.000 0.000
Cd: 0.500 0.500 0.000
Pt: 0.250 0.750 0.500
Be: 0.750 0.250 0.500

Results
DOS(E_F)   0.67 states/eV/f.u.
E_tot   -2.921 eV per atom



Computed, not measured: an optimized crystal structure of Cs2LiHgPt at the PBE-GGA level of DFT.

Unit cell a=6.767 b=6.767 c=4.867 alpha=90.00 beta=90.00 gamma=90.00
Fractional coordinates of all 5 atoms:
Hg: 0.500 0.500 0.500
Cs: 0.000 0.500 0.000
Cs: 0.500 0.000 0.000
Li: 0.000 0.000 0.500
Pt: 0.000 0.000 0.000

Results
DOS(E_F)   3.13 states/eV/f.u.
E_tot   -2.048 eV per atom



Computed, not measured: an optimized crystal structure of ZrTc at the PBE-GGA level of DFT.

Unit cell a=11.140 b=5.388 c=5.113 alpha=90.00 beta=90.00 gamma=90.00
Fractional coordinates of all 16 atoms:
Zr: 0.277 0.750 0.676
Zr: 0.931 0.250 0.981
Zr: 0.777 0.750 0.824
Zr: 0.069 0.750 0.019
Zr: 0.431 0.250 0.519
Zr: 0.723 0.250 0.324
Zr: 0.569 0.750 0.481
Zr: 0.223 0.250 0.176
Tc: 0.000 0.000 0.500
Tc: 0.663 0.250 0.803
Tc: 0.500 0.500 0.000
Tc: 0.000 0.500 0.500
Tc: 0.163 0.250 0.697
Tc: 0.500 0.000 0.000
Tc: 0.837 0.750 0.303
Tc: 0.337 0.750 0.197

Results
DOS(E_F)   1.57 states/eV/f.u.
E_tot   -9.477 eV per atom



Computed, not measured: an optimized crystal structure of Sm5BiSe4 at the PBE-GGA level of DFT.

Unit cell a=4.241 b=7.382 c=9.511 alpha=74.92 beta=77.12 gamma=73.31
Fractional coordinates of all 10 atoms:
Bi: 0.000 0.000 0.000
Sm: 0.392 0.325 0.890
Sm: 0.000 0.500 0.500
Sm: 0.608 0.675 0.110
Sm: 0.794 0.097 0.314
Sm: 0.206 0.903 0.686
Se: 0.595 0.207 0.604
Se: 0.204 0.386 0.205
Se: 0.796 0.614 0.795
Se: 0.405 0.793 0.396

Results
DOS(E_F)   3.51 states/eV/f.u.
Uncorrected formation energy   -37.43 kcal/mol of atoms
E_tot   -5.765 eV per atom



Computed, not measured: an optimized crystal structure of Be17W2 at the PBE-GGA level of DFT.

Unit cell a=5.484 b=5.484 c=5.484 alpha=83.36 beta=83.36 gamma=83.36
Fractional coordinates of all 19 atoms:
Be: 0.300 0.000 0.700
Be: 0.300 0.700 0.000
Be: 0.161 0.650 0.650
Be: 0.900 0.900 0.900
Be: 0.000 0.300 0.700
Be: 0.000 0.000 0.500
Be: 0.350 0.350 0.839
Be: 0.350 0.839 0.350
Be: 0.650 0.650 0.161
Be: 0.700 0.000 0.300
Be: 0.700 0.300 0.000
Be: 0.839 0.350 0.350
Be: 0.650 0.161 0.650
Be: 0.000 0.500 0.000
Be: 0.500 0.000 0.000
Be: 0.000 0.700 0.300
Be: 0.100 0.100 0.100
W: 0.341 0.341 0.341
W: 0.659 0.659 0.659

Results
DOS(E_F)   5.44 states/eV/f.u.
E_tot   -4.814 eV per atom